{"formula": "ScAlAuF2", "functional": "PBE", "state": "relaxed", "total_magnetization_mub_per_fu": 0.86, "dos_ef_per_ev_atom": 0.968, "dft_energy_ev_per_atom": -4.86, "space_group": "P4/mmm (123)", "lattice": [[-3.049, 1.563, 1.645], [-3.711, -4.924, -2.199], [0.712, -1.957, 3.179]], "species": ["Sc", "Au", "Al", "F", "F"], "fractional_positions": [[0.000, 0.500, 0.000], [0.500, 0.500, 0.500], [0.000, 0.000, 0.000], [0.000, 0.000, 0.500], [0.500, 0.000, 0.000]]}

---

{"formula": "AlTcAuF2", "functional": "PBE", "state": "relaxed", "total_magnetization_mub_per_fu": 2.10, "dos_ef_per_ev_atom": 0.540, "dft_energy_ev_per_atom": -4.88, "space_group": "P4/mmm (123)", "lattice": [[3.977, 0.000, 0.000], [0.000, 5.600, 0.000], [0.000, 0.000, 3.977]], "species": ["F", "F", "Au", "Tc", "Al"], "fractional_positions": [[0.000, 0.000, 0.500], [0.500, 0.000, 0.000], [0.000, 0.500, 0.000], [0.000, 0.000, 0.000], [0.500, 0.500, 0.500]]}

---

{"formula": "TiAlAu2F", "functional": "PBE", "state": "relaxed", "total_magnetization_mub_per_fu": 1.44, "dos_ef_per_ev_atom": 0.791, "dft_energy_ev_per_atom": -4.28, "space_group": "P4/mmm (123)", "lattice": [[4.962, 0.000, 0.000], [0.000, 3.760, 0.000], [0.000, 0.000, 4.962]], "species": ["F", "Au", "Au", "Al", "Ti"], "fractional_positions": [[0.000, 0.000, 0.000], [0.000, 0.000, 0.500], [0.500, 0.000, 0.000], [0.500, 0.500, 0.500], [0.000, 0.500, 0.000]]}

---

{"formula": "AlTlAuF2", "functional": "PBE", "state": "relaxed", "total_magnetization_mub_per_fu": 0.53, "dos_ef_per_ev_atom": 0.329, "dft_energy_ev_per_atom": -4.01, "space_group": "P4/mmm (123)", "lattice": [[-3.367, -0.442, 1.843], [1.749, -2.172, 2.675], [1.162, 5.043, 3.336]], "species": ["Tl", "Au", "Al", "F", "F"], "fractional_positions": [[0.000, 0.000, 0.500], [0.500, 0.500, 0.500], [0.000, 0.000, 0.000], [0.000, 0.500, 0.000], [0.500, 0.000, 0.000]]}

---

{"formula": "YAlAu2F", "functional": "PBE", "state": "relaxed", "total_magnetization_mub_per_fu": 0.00, "dos_ef_per_ev_atom": 0.525, "dft_energy_ev_per_atom": -4.10, "space_group": "P4/mmm (123)", "lattice": [[4.700, 0.000, 0.000], [0.000, 5.751, 0.000], [0.000, 0.000, 4.700]], "species": ["Y", "Au", "Au", "Al", "F"], "fractional_positions": [[0.000, 0.500, 0.000], [0.000, 0.000, 0.500], [0.500, 0.000, 0.000], [0.000, 0.000, 0.000], [0.500, 0.500, 0.500]]}

---

{"formula": "Al2FeAu", "functional": "PBE", "state": "relaxed", "total_magnetization_mub_per_fu": 1.23, "delta_e_f_ev_per_atom": -0.182, "dos_ef_per_ev_atom": 0.553, "space_group": "R3m (160)", "lattice": [[-1.674, -1.705, 1.624], [-0.466, -2.740, -0.787], [5.862, -3.837, 4.584]], "species": ["Al", "Al", "Fe", "Au"], "fractional_positions": [[0.074, 0.074, 0.779], [0.259, 0.259, 0.223], [0.666, 0.666, 0.002], [0.501, 0.501, 0.497]]}

---

{"formula": "Al2FeAu", "functional": "PBE", "state": "relaxed", "total_magnetization_mub_per_fu": 1.96, "delta_e_f_ev_per_atom": -0.193, "dos_ef_per_ev_atom": 0.804, "space_group": "P4mm (99)", "lattice": [[-0.596, 2.859, 1.593], [-0.649, -1.691, 2.791], [5.225, 0.307, 1.402]], "species": ["Au", "Fe", "Al", "Al"], "fractional_positions": [[0.000, 0.000, 0.484], [0.500, 0.500, 0.788], [0.000, 0.000, 0.970], [0.500, 0.500, 0.258]]}

---

{"formula": "Al2FeAu", "functional": "PBE", "state": "relaxed", "total_magnetization_mub_per_fu": 1.33, "delta_e_f_ev_per_atom": -0.249, "dos_ef_per_ev_atom": 0.503, "space_group": "C2 (5)", "lattice": [[-3.946, 0.714, -2.887], [-1.743, -4.011, -2.303], [1.264, 1.163, 4.629]], "species": ["Au", "Fe", "Al", "Al"], "fractional_positions": [[0.500, 0.500, 0.000], [0.249, 0.751, 0.500], [0.000, 0.000, 0.000], [0.750, 0.250, 0.500]]}